1.
Material: LiSbO4
Method: DFT, GGA-PBE
State: optimized geometry

a b c (Å): 3.0862 4.8496 4.8496
angles (deg): 88.83 90.00 90.00
Each line ends with the local moment (μB).
Atoms (fractional coordinates):
O1 0.0000 0.2136 0.2136  0.63
O2 0.5000 0.3051 0.6949  0.21
O3 0.5000 0.6949 0.3051  0.21
O4 0.0000 0.7864 0.7864  0.63
Li1 0.5000 0.0000 0.0000  0.00
Sb1 0.0000 0.5000 0.5000  -0.04

Calculated values
The calculation puts the calculated volume at 12.1 Å³/atom. The value obtained for the uncorrected formation energy is -5.60 eV/f.u.

***

2.
Material: Al2CrAuC
Method: DFT, GGA-PBE
State: optimized geometry

a b c (Å): 4.7244 5.1515 4.7244
angles (deg): 90.00 90.00 90.00
Each line ends with the local moment (μB).
Atoms (fractional coordinates):
C1 0.5000 0.5000 0.5000  -0.77
Cr1 0.0000 0.5000 0.0000  3.98
Al1 0.5000 0.0000 0.0000  -0.02
Al2 0.0000 0.0000 0.5000  -0.01
Au1 0.0000 0.0000 0.0000  0.05

Calculated values
The calculation puts the calculated volume at 23.0 Å³/atom. The calculated total energy comes out at -4.2800 eV/atom.

***

So what do the calculations give for DOS at the Fermi energy? Going down the list: 5.1 1.7 states/eV per cell.